Computed, not measured: an optimized crystal structure of CeAsO at the GGA-PBE level of DFT.

extended XYZ file:
```
6
Lattice="5.161 -1.936 0.000 5.161 1.936 0.000 -2.954 0.000 6.516" Properties=species:S:1:pos:R:3 pbc="T T T"
Ce 1.303 0.000 1.765
Ce 6.066 0.000 4.751
As 4.249 0.000 0.765
As 3.119 0.000 5.751
O 0.327 0.000 3.803
O 7.042 0.000 2.713
```

Values from the calculation:
As for the space-group type: C2/m, No. 12. The density comes out at 5.892 g/cm³. The calculation puts the total energy at -7.3216 eV per atom. As for the uncorrected formation energy: -2.141 eV/atom. Its crystal system is monoclinic. As for the total magnetization: 0.5 Bohr magnetons per cell. The calculation puts the energy above the lowest structure with this stoichiometry at 0.150 eV per atom.